Material: Tb3Pr6SmHo2
Method: DFT, GGA-PBE
State: optimized geometry

a = 6.3217 Å, b = 6.3217 Å, c = 11.9395 Å
α = 95.05°, β = 95.05°, γ = 120.01°
Fractional coordinates of all 12 atoms:
Pr 0.7501 0.7501 0.2499
Tb 0.5000 0.5000 0.5000
Pr 0.2499 0.2499 0.7501
Pr 0.4177 0.0838 0.2501
Tb 0.8333 0.1667 0.5000
Pr 0.9162 0.5823 0.7499
Ho 0.6666 0.3334 0.0000
Pr 0.0838 0.4177 0.2501
Pr 0.5823 0.9162 0.7499
Ho 0.3334 0.6666 0.0000
Tb 0.1667 0.8333 0.5000
Sm 0.0000 0.0000 0.0000

Values from the calculation:
Density of states at the Fermi level in states/eV/f.u.: 14.0
Energy of formation in meV per atom: 11